This record from Alexandria describes Sr3Tl3Au2 after structural relaxation. The functional is PBE.

Structure (POSCAR):
```
Sr3Tl3Au2
1.0
4.0365 0.0000 0.0000
0.0000 7.2350 -4.1771
0.0000 0.0000 8.3542
Au Sr Tl
2 3 3
Direct
0.0000 0.3333 0.6667
0.0000 0.6667 0.3333
0.5000 0.4076 0.4076
0.5000 0.5924 0.0000
0.5000 0.0000 0.5924
0.0000 0.2322 0.0000
0.0000 0.7678 0.7678
0.0000 0.0000 0.2322
```

Results
- Volume: 30.497 Å³/atom
- Fermi-level density of states: 4.616 states/eV per cell
- Theoretical density: 8.64 g cm⁻³
- ΔH_f (0 K): -519.0 meV per atom